Entry 1:
The following is a DFT calculation (PBE) of a relaxed structure of K4Bi. Values from VASP.

Output
total DFT energy (no corrections) = -18.8 eV for the cell shown
space group = P1
calculated formation energy = -0.223 eV/atom
total magnetization = 0.5 μB per formula unit
density of states at the Fermi level = 0.531 states/eV per atom
excess energy over the best structure of this formula in the dataset = 0 meV per atom

```
&SYSTEM
  ibrav = 0, nat = 10, ntyp = 2
/
ATOMIC_SPECIES
Bi 208.98 Bi.upf
K 39.10 K.upf
CELL_PARAMETERS angstrom
-3.728 -2.035 -4.602
8.397 -4.309 -0.626
-11.676 0.040 9.427
ATOMIC_POSITIONS crystal
Bi 0.401 0.399 0.849
Bi 0.399 0.399 0.349
K 0.758 0.113 0.805
K 0.739 0.080 0.161
K 0.684 0.970 0.498
K 0.371 0.344 0.076
K 0.430 0.457 0.624
K 0.059 0.718 0.538
K 0.111 0.831 0.204
K 0.046 0.689 0.896
```



Entry 2:
The following is a DFT calculation (PBE) of a relaxed structure of Na2GeF6. Values from VASP.

Output
total DFT energy (no corrections) = -128.6 eV for the cell shown
space group = P321
E_form (uncorrected) = -2351 kJ/mol of formula units
total magnetization = 0.1 μB per formula unit
density of states at the Fermi level = 0.000 states/eV per atom
excess energy over the best structure of this formula in the dataset = 0 meV per atom

```
&SYSTEM
  ibrav = 0, nat = 27, ntyp = 3
/
ATOMIC_SPECIES
Na 22.99 Na.upf
F 19.00 F.upf
Ge 72.64 Ge.upf
CELL_PARAMETERS angstrom
9.219 0.000 0.000
-4.609 7.983 0.000
0.000 0.000 5.179
ATOMIC_POSITIONS crystal
Na 0.627 0.627 0.000
Na 0.289 0.289 0.500
Na 0.373 0.000 0.000
Na 0.000 0.373 0.000
Na 0.711 0.000 0.500
Na 0.000 0.711 0.500
F 0.897 0.811 0.799
F 0.593 0.146 0.708
F 0.407 0.553 0.292
F 0.746 0.521 0.302
F 0.189 0.086 0.799
F 0.447 0.854 0.292
F 0.914 0.103 0.799
F 0.553 0.407 0.708
F 0.146 0.593 0.292
F 0.811 0.897 0.201
F 0.854 0.447 0.708
F 0.775 0.254 0.302
F 0.086 0.189 0.201
F 0.254 0.775 0.698
F 0.103 0.914 0.201
F 0.225 0.479 0.698
F 0.479 0.225 0.302
F 0.521 0.746 0.698
Ge 0.333 0.667 0.495
Ge 0.667 0.333 0.505
Ge 0.000 0.000 0.000
```



Entry 3:
The following is a DFT calculation (PBE) of a relaxed structure of UICl3. Values from VASP.

Output
total DFT energy (no corrections) = -51.0 eV for the cell shown
space group = P2_1/m
E_form (uncorrected) = -687 kJ/mol of formula units
total magnetization = 2.0 μB per formula unit
density of states at the Fermi level = 1.394 states/eV per atom
excess energy over the best structure of this formula in the dataset = 34 meV per atom

```
&SYSTEM
  ibrav = 0, nat = 10, ntyp = 3
/
ATOMIC_SPECIES
I 126.90 I.upf
Cl 35.45 Cl.upf
U 238.03 U.upf
CELL_PARAMETERS angstrom
-3.509 1.453 -0.753
-3.900 -10.329 -1.762
-2.130 -0.671 8.649
ATOMIC_POSITIONS crystal
I 0.748 0.750 0.541
I 0.252 0.250 0.459
Cl 0.248 0.750 0.977
Cl 0.748 0.581 0.214
Cl 0.252 0.081 0.786
Cl 0.752 0.250 0.023
Cl 0.252 0.419 0.786
Cl 0.748 0.919 0.214
U 0.248 0.750 0.257
U 0.752 0.250 0.743
```



Entry 4:
The following is a DFT calculation (PBE) of a relaxed structure of CsZnCd3. Values from VASP.

Output
total DFT energy (no corrections) = -1.7 eV for the cell shown
space group = Pm-3m
calculated formation energy = 0.628 eV/atom
total magnetization = 0.0 μB per formula unit
density of states at the Fermi level = 1.133 states/eV per atom
excess energy over the best structure of this formula in the dataset = 625 meV per atom

```
&SYSTEM
  ibrav = 0, nat = 5, ntyp = 3
/
ATOMIC_SPECIES
Cd 112.41 Cd.upf
Zn 65.41 Zn.upf
Cs 132.91 Cs.upf
CELL_PARAMETERS angstrom
-2.893 0.351 6.863
4.531 -5.502 2.192
5.167 5.021 1.922
ATOMIC_POSITIONS crystal
Cd 0.500 0.000 0.000
Cd 0.000 0.500 0.000
Cd 0.000 0.000 0.500
Zn 0.500 0.500 0.500
Cs 0.000 0.000 0.000
```